(1)
DFT (GGA-PBE) results for an optimized crystal structure of Mn2Tl3CuCl8.

Cell: 7.1868 7.1868 8.9986 Å, 90.00 90.00 120.00°
Sites, in units of the cell vectors:
1 Mn 0.3333 0.6667 0.2151
2 Mn 0.6667 0.3333 0.7849
3 Tl 0.0000 0.0000 0.0000
4 Tl 0.3333 0.6667 0.6252
5 Tl 0.6667 0.3333 0.3748
6 Cu 0.0000 0.0000 0.5000
7 Cl 0.1599 0.3197 0.3219
8 Cl 0.1599 0.8401 0.3219
9 Cl 0.3197 0.1599 0.6781
10 Cl 0.3333 0.6667 0.9600
11 Cl 0.6667 0.3333 0.0400
12 Cl 0.6803 0.8401 0.3219
13 Cl 0.8401 0.1599 0.6781
14 Cl 0.8401 0.6803 0.6781

As for the space group: No. 164. Its formation energy (no corrections) is -0.919 eV per atom.

---

(2)
DFT (GGA-PBE) results for an optimized crystal structure of ZnInGaCl4.

Cell: 7.2585 7.1991 8.7239 Å, 90.00 109.62 90.00°
Sites, in units of the cell vectors:
1 Zn 0.2462 0.2500 0.3046
2 Zn 0.7538 0.7500 0.6954
3 In 0.2624 0.7500 0.0496
4 In 0.7376 0.2500 0.9504
5 Ga 0.2199 0.7500 0.5237
6 Ga 0.7801 0.2500 0.4763
7 Cl 0.0380 0.5012 0.2506
8 Cl 0.0380 0.9988 0.2506
9 Cl 0.4264 0.2500 0.1362
10 Cl 0.4473 0.2500 0.5710
11 Cl 0.5527 0.7500 0.4290
12 Cl 0.5736 0.7500 0.8638
13 Cl 0.9620 0.0012 0.7494
14 Cl 0.9620 0.4988 0.7494

As for the space group: No. 11. Its formation energy (no corrections) is -0.930 eV per atom.

---

(3)
DFT (GGA-PBE) results for an optimized crystal structure of InAuBr2.

Cell: 4.3407 4.3407 6.1917 Å, 90.00 90.00 90.00°
Sites, in units of the cell vectors:
1 In 0.0000 0.0000 0.0000
2 Au 0.5000 0.5000 0.4972
3 Br 0.0000 0.0000 0.5006
4 Br 0.5000 0.5000 0.0021

As for the space group: No. 99. Its formation energy (no corrections) is -0.133 eV per atom.

---

(4)
DFT (GGA-PBE) results for an optimized crystal structure of Fe2CuRu.

Cell: 2.5160 4.2513 4.7974 Å, 90.00 97.56 90.00°
Sites, in units of the cell vectors:
1 Fe 0.2403 0.0000 0.2527
2 Fe 0.7597 0.0000 0.7473
3 Cu 0.0000 0.5000 0.5000
4 Ru 0.5000 0.5000 0.0000

As for the space group: No. 10. Its formation energy is 0.231 eV/atom.

---

(5)
DFT (GGA-PBE) results for an optimized crystal structure of K5Au2O2.

Cell: 7.3354 7.3354 8.6327 Å, 112.34 112.34 40.87°
Sites, in units of the cell vectors:
1 K 0.0000 0.0000 0.0000
2 K 0.0921 0.0921 0.6659
3 K 0.3317 0.3317 0.6189
4 K 0.6683 0.6683 0.3811
5 K 0.9079 0.9079 0.3341
6 Au 0.2681 0.2681 0.0321
7 Au 0.7319 0.7319 0.9679
8 O 0.1030 0.1030 0.3698
9 O 0.8970 0.8970 0.6302

As for the space group: No. 12. Its formation energy (no corrections) is -0.676 eV per atom.

---

Question: Which formula does entry 5 have?
Answer: K5Au2O2

---

Question: Number 3 is which compound?
Answer: InAuBr2

---

Question: Which formula does entry 5 have?
Answer: K5Au2O2